Material: La6Sm12Y
Method: DFT, PBE-GGA
State: optimized geometry

a = 12.3323 Å, b = 12.3323 Å, c = 15.2281 Å
α = 90.00°, β = 90.00°, γ = 120.00°
Closest atoms and distances in Å follow each position.
Space group R-3 (No. 148, hexagonal axes)
One atom of each set of equivalent atoms:
1 La 0.0115 0.5919 0.1854 x18  7 Sm 3.44-3.74, 1 Y 3.61, 2 La 3.64
2 Sm 0.0013 0.8304 0.3100 x18  4 Sm 3.49-3.73, 4 La 3.56-3.74, 1 Y 3.57
3 Sm 0.0500 0.1955 0.9166 x18  4 Sm 3.34-3.73, 3 La 3.44-3.48
4 Y 0.0000 0.0000 0.5000 x3  6 Sm 3.57, 6 La 3.61

Values from the calculation:
**Polymorph energy (0 for the lowest one)**: 0.0 kJ/mol of formula units
**E**: -270.7 eV/cell
**Calculated formation energy**: 0.128 eV per atom
**Crystal system**: trigonal